{
  "formula": "La2Hg2W",
  "functional": "PBE",
  "state": "relaxed",
  "crystal_system": "tetragonal",
  "dos_ef_per_ev_fu": 5.70,
  "formation_enthalpy_0k_kj_per_mol_fu": 495,
  "polymorph_energy_ev_per_fu": 2.85,
  "lattice_angstrom": [[-1.493, 3.571, -1.559], [-3.879, -1.521, 0.232], [-3.340, 3.736, 6.174]],
  "species": ["La", "La", "W", "Hg", "Hg"],
  "fractional_positions": [[0.250, 0.750, 0.500], [0.750, 0.250, 0.500], [0.000, 0.000, 0.000], [0.589, 0.589, 0.822], [0.411, 0.411, 0.178]]
}